Record 1
VASP calculation (PBE) on crystalline DyLuSn2 at its relaxed geometry.

```
DyLuSn2
1.0
-0.653 -3.514 -2.467
4.771 -1.037 0.214
-0.762 -2.678 4.016
Sn Lu Dy
2 1 1
Direct
0.000 0.000 0.500
0.000 0.500 0.000
0.500 0.000 0.000
0.500 0.500 0.500
```

Output
The calculation puts the density of states at the Fermi level at 4.1 states/eV per cell. As for the calculated formation energy: -0.573 eV/atom. The final energy comes out at -19.42 eV per formula unit.



Record 2
VASP calculation (PBE) on crystalline DyLuSn at its relaxed geometry.

```
DyLuSn
1.0
3.518 0.000 0.000
0.000 3.518 0.000
-1.759 -1.759 6.725
Dy Lu Sn
1 1 1
Direct
0.991 0.991 0.982
0.677 0.677 0.354
0.332 0.332 0.663
```

Output
The excess energy over the best structure of this formula in the dataset comes out at 0.000 eV per atom. The calculation puts the density of states at the Fermi level at 2.5 states/eV per cell. As for the calculated formation energy: -0.420 eV/atom. The final energy comes out at -14.39 eV per formula unit.



Record 3
VASP calculation (PBE) on crystalline Dy2LuSn at its relaxed geometry.

```
Dy2LuSn
1.0
-0.580 2.273 4.183
-3.521 -3.003 1.143
3.161 -2.932 2.032
Dy Lu Sn
2 1 1
Direct
0.000 0.000 0.500
0.000 0.500 0.000
0.500 0.000 0.000
0.500 0.500 0.500
```

Output
The excess energy over the best structure of this formula in the dataset comes out at 0.000 eV per atom. The calculation puts the density of states at the Fermi level at 4.8 states/eV per cell. As for the calculated formation energy: -0.402 eV/atom. The final energy comes out at -19.34 eV per formula unit.



Record 4
VASP calculation (PBE) on crystalline DyLu2Sn at its relaxed geometry.

```
DyLu2Sn
1.0
-4.616 0.935 -0.548
-0.692 -0.696 4.647
0.836 4.604 0.814
Sn Lu Dy
1 2 1
Direct
0.500 0.000 0.000
0.000 0.000 0.500
0.000 0.500 0.000
0.500 0.500 0.500
```

Output
The excess energy over the best structure of this formula in the dataset comes out at 0.000 eV per atom. The calculation puts the density of states at the Fermi level at 4.7 states/eV per cell. As for the calculated formation energy: -0.386 eV/atom. The final energy comes out at -19.19 eV per formula unit.



Record 5
VASP calculation (PBE) on crystalline DyLuSn2 at its relaxed geometry.

```
DyLuSn2
1.0
3.451 0.000 0.000
0.000 3.451 0.000
0.000 0.000 8.706
Sn Dy Lu
2 1 1
Direct
0.000 0.000 0.746
0.000 0.000 0.254
0.500 0.500 0.000
0.500 0.500 0.500
```

Output
The calculation puts the density of states at the Fermi level at 2.8 states/eV per cell. As for the calculated formation energy: -0.583 eV/atom. The final energy comes out at -19.46 eV per formula unit.



Record 6
VASP calculation (PBE) on crystalline TbDyLuSn at its relaxed geometry.

```
TbDyLuSn
1.0
5.373 0.000 0.000
2.687 4.653 0.000
2.687 1.551 4.387
Tb Dy Lu Sn
1 1 1 1
Direct
0.250 0.250 0.250
0.750 0.750 0.750
0.500 0.500 0.500
0.000 0.000 0.000
```

Output
The calculation puts the density of states at the Fermi level at 6.8 states/eV per cell. As for the calculated formation energy: -0.236 eV/atom. The final energy comes out at -18.70 eV per formula unit.